Material: NaIn3F
Method: DFT, GGA-PBE
State: optimized geometry

Summary:
The calculation puts the total DFT energy (no corrections) at -0.1041 hartree per atom. The space group is No. 221. The energy above the most stable polymorph in this dataset comes out at 0 meV/atom. Its uncorrected formation energy is -12.7 kcal/mol of atoms.

Cell and atoms, written as POSCAR:
```
NaIn3F
1.0
5.1465 0.0000 0.0000
0.0000 5.1465 0.0000
0.0000 0.0000 5.1465
F In Na
1 3 1
direct
0.0000 0.0000 0.0000 F
0.0000 0.5000 0.0000 In
0.0000 0.0000 0.5000 In
0.5000 0.0000 0.0000 In
0.5000 0.5000 0.5000 Na
```

***

Material: SrTbB2O6
Method: DFT, GGA-PBE
State: optimized geometry

Summary:
The calculation puts the total DFT energy (no corrections) at -0.2824 hartree per atom. The space group is No. 15. Its uncorrected formation energy is -63.3 kcal/mol of atoms.

Cell and atoms, written as POSCAR:
```
SrTbB2O6
1.0
-5.0731 3.5609 1.7625
-2.6065 -5.8255 -0.8899
3.1985 -0.8623 6.0258
O Tb Sr B
12 2 2 4
direct
0.8441 0.7786 0.8769 O
0.7786 0.8441 0.3769 O
0.7034 0.4686 0.5960 O
0.2966 0.5314 0.4040 O
0.5314 0.2966 0.9040 O
0.4559 0.9274 0.7135 O
0.2214 0.1559 0.6231 O
0.5441 0.0726 0.2865 O
0.0726 0.5441 0.7865 O
0.1559 0.2214 0.1231 O
0.9274 0.4559 0.2135 O
0.4686 0.7034 0.0960 O
0.4215 0.5785 0.7500 Tb
0.5785 0.4215 0.2500 Tb
0.8734 0.1266 0.7500 Sr
0.1266 0.8734 0.2500 Sr
0.6036 0.8801 0.2518 B
0.3964 0.1199 0.7482 B
0.1199 0.3964 0.2482 B
0.8801 0.6036 0.7518 B
```

***

Material: MgSnSN2
Method: DFT, GGA-PBE
State: optimized geometry

Summary:
The calculation puts the total DFT energy (no corrections) at -0.1591 hartree per atom. The space group is No. 123. The energy above the most stable polymorph in this dataset comes out at 159 meV/atom. Its uncorrected formation energy is 21.8 kcal/mol of atoms.

Cell and atoms, written as POSCAR:
```
MgSnSN2
1.0
4.1646 0.0000 0.0000
0.0000 4.1646 0.0000
0.0000 0.0000 5.0826
N Sn S Mg
2 1 1 1
direct
0.5000 0.0000 0.0000 N
0.0000 0.5000 0.0000 N
0.5000 0.5000 0.5000 Sn
0.0000 0.0000 0.5000 S
0.0000 0.0000 0.0000 Mg
```

***

Material: PaGe2
Method: DFT, GGA-PBE
State: optimized geometry

Summary:
The value obtained for the formation energy from the elements is -0.18 eV/atom. The calculation puts the total DFT energy (no corrections) at -0.2360 hartree per atom. The space group is No. 12. The energy above the most stable polymorph in this dataset comes out at 302 meV/atom.

Cell and atoms, written as POSCAR:
```
PaGe2
1.0
4.0163 -0.0699 0.3009
-0.0699 4.0163 0.3009
-1.6857 -1.6857 3.8659
Pa Ge
1 2
direct
0.5000 0.5000 0.0000 Pa
0.1111 0.1111 0.2979 Ge
0.8889 0.8889 0.7021 Ge
```

***

Material: Fe3Ni4Pt
Method: DFT, GGA-PBE
State: optimized geometry

Summary:
The value obtained for the formation energy from the elements is -0.10 eV/atom. The calculation puts the total DFT energy (no corrections) at -0.2543 hartree per atom. The space group is No. 51.

Cell and atoms, written as POSCAR:
```
Fe3Ni4Pt
1.0
-1.8793 -2.1643 3.4141
-1.0753 -3.9556 -3.0995
7.3536 -3.4547 1.8578
Fe Ni Pt
6 8 2
direct
0.6612 0.5000 0.7500 Fe
0.0000 0.0000 0.0000 Fe
0.3388 0.5000 0.2500 Fe
0.6685 0.0000 0.7500 Fe
0.3315 0.0000 0.2500 Fe
0.0000 0.0000 0.5000 Fe
0.8248 0.2471 0.2500 Ni
0.1752 0.2471 0.7500 Ni
0.5000 0.2423 0.5000 Ni
0.8248 0.7529 0.2500 Ni
0.5000 0.7577 0.5000 Ni
0.1752 0.7529 0.7500 Ni
0.5000 0.7577 0.0000 Ni
0.5000 0.2423 0.0000 Ni
0.0000 0.5000 0.5000 Pt
0.0000 0.5000 0.0000 Pt
```

***

Material: B2BrN
Method: DFT, GGA-PBE
State: optimized geometry

Summary:
The calculation puts the total DFT energy (no corrections) at -0.1828 hartree per atom. The space group is No. 122. The energy above the most stable polymorph in this dataset comes out at 0 meV/atom. Its uncorrected formation energy is 19.9 kcal/mol of atoms.

Cell and atoms, written as POSCAR:
```
B2BrN
1.0
4.8085 0.0000 0.0000
0.0000 4.8085 0.0000
2.4043 2.4043 3.4361
N B Br
2 4 2
direct
0.5000 0.5000 0.0000 N
0.2500 0.7500 0.5000 N
0.8750 0.7549 0.7500 B
0.5049 0.1250 0.2500 B
0.2451 0.6250 0.2500 B
0.3750 0.4951 0.7500 B
0.7500 0.2500 0.5000 Br
0.0000 0.0000 0.0000 Br
```

***

Material: Sc3Sn2O
Method: DFT, GGA-PBE
State: optimized geometry

Summary:
The calculation puts the total DFT energy (no corrections) at -0.2437 hartree per atom. The space group is No. 63. Its uncorrected formation energy is -30.1 kcal/mol of atoms.

Cell and atoms, written as POSCAR:
```
Sc3Sn2O
1.0
5.9764 0.0000 0.0000
0.0000 6.4977 0.3694
0.0000 -1.7845 6.2587
Sc Sn O
6 4 2
direct
0.0000 0.1510 0.8490 Sc
0.5000 0.1510 0.8490 Sc
0.0000 0.8490 0.1510 Sc
0.2500 0.3328 0.3328 Sc
0.7500 0.6672 0.6672 Sc
0.5000 0.8490 0.1510 Sc
0.7500 0.1726 0.4647 Sn
0.7500 0.4647 0.1726 Sn
0.2500 0.8274 0.5353 Sn
0.2500 0.5353 0.8274 Sn
0.7500 0.9287 0.9287 O
0.2500 0.0713 0.0713 O
```

***

Material: BPdNO2
Method: DFT, GGA-PBE
State: optimized geometry

Summary:
The calculation puts the total DFT energy (no corrections) at -0.1606 hartree per atom. The space group is No. 123. Its uncorrected formation energy is 38.1 kcal/mol of atoms.

Cell and atoms, written as POSCAR:
```
BPdNO2
1.0
-3.8227 -0.5756 1.2944
1.4162 -1.6407 3.4529
0.0301 3.3249 1.5675
O N B Pd
2 1 1 1
direct
0.0000 0.5000 0.0000 O
0.5000 0.0000 0.0000 O
0.0000 0.0000 0.5000 N
0.5000 0.5000 0.5000 B
0.0000 0.0000 0.0000 Pd
```

***

Material: SrGe12Ru4
Method: DFT, GGA-PBE
State: optimized geometry

Summary:
The value obtained for the formation energy from the elements is 0.01 eV/atom. The calculation puts the total DFT energy (no corrections) at -0.2033 hartree per atom. The space group is No. 204.

Cell and atoms, written as POSCAR:
```
SrGe12Ru4
1.0
7.5795 0.0000 0.0000
-2.5265 7.1460 0.0000
-2.5265 -3.5730 6.1886
Ge Ru Sr
12 4 1
direct
0.1860 0.8372 0.3487 Ge
0.5115 0.1628 0.3487 Ge
0.1628 0.3487 0.5115 Ge
0.8372 0.6513 0.4885 Ge
0.8372 0.3487 0.1860 Ge
0.8140 0.1628 0.6513 Ge
0.1628 0.6513 0.8140 Ge
0.6513 0.8140 0.1628 Ge
0.4885 0.8372 0.6513 Ge
0.3487 0.5115 0.1628 Ge
0.3487 0.1860 0.8372 Ge
0.6513 0.4885 0.8372 Ge
0.5000 0.5000 0.5000 Ru
0.5000 0.0000 0.0000 Ru
0.0000 0.0000 0.5000 Ru
0.0000 0.5000 0.0000 Ru
0.0000 0.0000 0.0000 Sr
```

***

Material: Ho6Hg2Te3Pb
Method: DFT, GGA-PBE
State: optimized geometry

Summary:
The calculation puts the total DFT energy (no corrections) at -0.1580 hartree per atom. The space group is No. 12. Its uncorrected formation energy is -20.0 kcal/mol of atoms.

Cell and atoms, written as POSCAR:
```
Ho6Hg2Te3Pb
1.0
-1.5111 0.8407 -3.8846
4.1120 -7.2251 -3.1632
-8.2865 -2.6356 4.9802
Te Hg Ho Pb
3 2 6 1
direct
0.8386 0.1357 0.6772 Te
0.5000 0.5000 0.0000 Te
0.1614 0.8643 0.3229 Te
0.1844 0.3889 0.3687 Hg
0.8156 0.6111 0.6313 Hg
0.6706 0.1269 0.3412 Ho
0.9893 0.7453 0.9785 Ho
0.6629 0.6153 0.3258 Ho
0.0107 0.2547 0.0215 Ho
0.3371 0.3847 0.6742 Ho
0.3294 0.8731 0.6588 Ho
0.5000 0.0000 0.0000 Pb
```

***

Material: KGe3Pd
Method: DFT, GGA-PBE
State: optimized geometry

Summary:
The value obtained for the formation energy from the elements is 1.74 eV/atom. The calculation puts the total DFT energy (no corrections) at -0.0842 hartree per atom. The space group is No. 221. The energy above the most stable polymorph in this dataset comes out at 1963 meV/atom.

Cell and atoms, written as POSCAR:
```
KGe3Pd
1.0
-1.1993 3.7726 -3.5483
-5.1748 -0.7254 0.9778
0.2097 3.6746 3.8360
Ge K Pd
3 1 1
direct
0.0000 0.0000 0.5000 Ge
0.5000 0.0000 0.0000 Ge
0.0000 0.5000 0.0000 Ge
0.0000 0.0000 0.0000 K
0.5000 0.5000 0.5000 Pd
```

***

Material: RbZnGeO4
Method: DFT, GGA-PBE
State: optimized geometry

Summary:
The calculation puts the total DFT energy (no corrections) at -0.1908 hartree per atom. The space group is No. 82. Its uncorrected formation energy is -31.8 kcal/mol of atoms.

Cell and atoms, written as POSCAR:
```
RbZnGeO4
1.0
-1.9163 0.5198 5.4215
3.9441 -3.8309 1.7614
1.4865 4.5104 -2.9813
O Zn Rb Ge
4 1 1 1
direct
0.2569 0.1436 0.7439 O
0.4870 0.6003 0.7439 O
0.3997 0.7431 0.2561 O
0.8564 0.5130 0.2561 O
0.2500 0.7500 0.5000 Zn
0.0000 0.0000 0.0000 Rb
0.5000 0.5000 0.0000 Ge
```

***

Material: Mn3ReNi12
Method: DFT, GGA-PBE
State: optimized geometry

Summary:
The value obtained for the formation energy from the elements is -0.06 eV/atom. The calculation puts the total DFT energy (no corrections) at -0.2534 hartree per atom. The space group is No. 123.

Cell and atoms, written as POSCAR:
```
Mn3ReNi12
1.0
3.5800 0.0000 0.0000
0.0000 3.5800 0.0000
0.0000 0.0000 14.3760
Ni Mn Re
12 3 1
direct
0.5000 0.5000 0.7500 Ni
0.5000 0.0000 0.6241 Ni
0.5000 0.0000 0.8756 Ni
0.5000 0.0000 0.1244 Ni
0.5000 0.5000 0.2500 Ni
0.0000 0.5000 0.3759 Ni
0.5000 0.5000 0.0000 Ni
0.0000 0.5000 0.8756 Ni
0.5000 0.5000 0.5000 Ni
0.0000 0.5000 0.6241 Ni
0.0000 0.5000 0.1244 Ni
0.5000 0.0000 0.3759 Ni
0.0000 0.0000 0.7456 Mn
0.0000 0.0000 0.2544 Mn
0.0000 0.0000 0.5000 Mn
0.0000 0.0000 0.0000 Re
```

***

Material: TaCr2Hg
Method: DFT, GGA-PBE
State: optimized geometry

Summary:
The value obtained for the formation energy from the elements is 0.55 eV/atom. The calculation puts the total DFT energy (no corrections) at -0.2681 hartree per atom. The space group is No. 166.

Cell and atoms, written as POSCAR:
```
TaCr2Hg
1.0
-6.7946 2.9003 -5.0960
-7.5974 0.0395 -4.7777
-8.3209 2.0371 -2.6762
Cr Hg Ta
2 1 1
direct
0.0061 0.0061 0.0061 Cr
0.4939 0.4939 0.4939 Cr
0.2500 0.2500 0.2500 Hg
0.7500 0.7500 0.7500 Ta
```

***

Material: SmPaSnO6
Method: DFT, GGA-PBE
State: optimized geometry

Summary:
The calculation puts the total DFT energy (no corrections) at -0.2997 hartree per atom. The space group is No. 163. Its uncorrected formation energy is -65.2 kcal/mol of atoms.

Cell and atoms, written as POSCAR:
```
SmPaSnO6
1.0
-4.7665 1.4452 2.6195
-0.2074 -2.6509 -4.9598
-0.0782 -8.4446 4.5167
O Sn Sm Pa
12 2 2 2
direct
0.9666 0.3086 0.1283 O
0.3086 0.9666 0.6283 O
0.6579 0.6914 0.6283 O
0.0334 0.6914 0.8717 O
0.6914 0.0334 0.3717 O
0.0334 0.3421 0.6283 O
0.6914 0.6579 0.1283 O
0.9666 0.6579 0.3717 O
0.3086 0.3421 0.8717 O
0.3421 0.3086 0.3717 O
0.6579 0.9666 0.8717 O
0.3421 0.0334 0.1283 O
0.6667 0.3333 0.2500 Sn
0.3333 0.6667 0.7500 Sn
0.3333 0.6667 0.2500 Sm
0.6667 0.3333 0.7500 Sm
0.0000 0.0000 0.0000 Pa
0.0000 0.0000 0.5000 Pa
```

***

Material: NaMnBiOs
Method: DFT, GGA-PBE
State: optimized geometry

Summary:
The value obtained for the formation energy from the elements is 0.45 eV/atom. The calculation puts the total DFT energy (no corrections) at -0.2186 hartree per atom. The space group is No. 107. The energy above the most stable polymorph in this dataset comes out at 37 meV/atom.

Cell and atoms, written as POSCAR:
```
NaMnBiOs
1.0
3.1334 0.0000 0.0000
0.0000 3.1334 0.0000
0.0000 0.0000 17.6844
Bi Os Mn Na
2 2 2 2
direct
0.5000 0.5000 0.6481 Bi
0.0000 0.0000 0.1481 Bi
0.0000 0.0000 0.3037 Os
0.5000 0.5000 0.8037 Os
0.0000 0.0000 0.8641 Mn
0.5000 0.5000 0.3641 Mn
0.5000 0.5000 0.9951 Na
0.0000 0.0000 0.4951 Na
```

***

Material: Nd2Ga5Tc
Method: DFT, GGA-PBE
State: optimized geometry

Summary:
The value obtained for the formation energy from the elements is -0.40 eV/atom. The calculation puts the total DFT energy (no corrections) at -0.1756 hartree per atom. The space group is No. 107.

Cell and atoms, written as POSCAR:
```
Nd2Ga5Tc
1.0
6.2755 -0.0697 -0.0994
-3.1504 5.4279 0.0994
-3.1504 -1.7530 5.1380
Ga Nd Tc
5 2 1
direct
0.0000 0.2687 0.2687 Ga
0.0000 0.2778 0.7057 Ga
0.0000 0.7057 0.2778 Ga
0.5721 0.2778 0.2778 Ga
0.4279 0.7057 0.7057 Ga
0.5000 0.2461 0.7461 Nd
0.5000 0.7461 0.2461 Nd
0.0000 0.9944 0.9944 Tc
```

***

Material: Rb2Tb3Te6
Method: DFT, GGA-PBE
State: optimized geometry

Summary:
The calculation puts the total DFT energy (no corrections) at -0.1635 hartree per atom. The space group is No. 12. Its uncorrected formation energy is -29.9 kcal/mol of atoms.

Cell and atoms, written as POSCAR:
```
Rb2Tb3Te6
1.0
7.2846 0.0000 2.1724
3.6423 6.5828 1.0862
-0.1250 0.0000 9.3042
Tb Te Rb
3 6 2
direct
0.6675 0.6650 0.0000 Tb
0.0000 0.0000 0.0000 Tb
0.3325 0.3350 0.0000 Tb
0.5998 0.3310 0.2005 Te
0.2690 0.0000 0.1996 Te
0.7310 0.0000 0.8004 Te
0.4002 0.6690 0.7995 Te
0.0693 0.3310 0.7995 Te
0.9307 0.6690 0.2005 Te
0.8335 0.3330 0.5000 Rb
0.1665 0.6670 0.5000 Rb
```

***

Material: KNa3Te2
Method: DFT, GGA-PBE
State: optimized geometry

Summary:
The calculation puts the total DFT energy (no corrections) at -0.1023 hartree per atom. The space group is No. 12. The energy above the most stable polymorph in this dataset comes out at 16 meV/atom. Its uncorrected formation energy is -20.6 kcal/mol of atoms.

Cell and atoms, written as POSCAR:
```
KNa3Te2
1.0
4.8558 0.0000 0.0000
-2.4279 10.3214 -0.1325
0.0000 -4.8597 8.0288
K Na Te
2 6 4
direct
0.9006 0.8013 0.9220 K
0.0994 0.1987 0.0780 K
0.0666 0.1333 0.4768 Na
0.9334 0.8667 0.5232 Na
0.6828 0.3656 0.4792 Na
0.3327 0.6655 0.1540 Na
0.3172 0.6344 0.5208 Na
0.6673 0.3345 0.8460 Na
0.4952 0.9905 0.7500 Te
0.7604 0.5208 0.2587 Te
0.2396 0.4792 0.7413 Te
0.5048 0.0095 0.2500 Te
```

***

Material: BaPt4Se8
Method: DFT, GGA-PBE
State: optimized geometry

Summary:
The calculation puts the total DFT energy (no corrections) at -0.1721 hartree per atom. The space group is No. 166. Its uncorrected formation energy is -12.3 kcal/mol of atoms.

Cell and atoms, written as POSCAR:
```
BaPt4Se8
1.0
7.2363 0.0000 2.4351
3.2084 6.4861 2.4351
1.1030 0.6850 8.6915
Se Ba Pt
8 1 4
direct
0.2809 0.7748 0.1694 Se
0.2252 0.2252 0.8306 Se
0.7242 0.7242 0.8273 Se
0.7191 0.2252 0.8306 Se
0.7748 0.7748 0.1694 Se
0.2758 0.2758 0.1727 Se
0.7748 0.2809 0.1694 Se
0.2252 0.7191 0.8306 Se
0.5000 0.5000 0.5000 Ba
0.0000 0.5000 0.0000 Pt
0.5000 0.5000 0.0000 Pt
0.0000 0.0000 0.0000 Pt
0.5000 0.0000 0.0000 Pt
```